Cd2ReP: optimized geometry, GGA-PBE.

Geometry as extended XYZ:
```
4
Lattice="3.8194 0.0000 0.0000 0.0000 3.8194 0.0000 0.0000 0.0000 4.7687" Properties=species:S:1:pos:R:3 pbc="T T T"
Cd 0.0000 1.9097 0.0000
Cd 1.9097 0.0000 0.0000
Re 0.0000 0.0000 2.3843
P 1.9097 1.9097 2.3843
```

Its total energy is -4.164 eV per atom. The density of states at the Fermi level comes out at 0.69 states/eV/atom. The magnetization is 0.96 μB per cell.

NaSmSc2: optimized geometry, GGA-PBE.

Geometry as extended XYZ:
```
4
Lattice="1.6771 0.9683 12.1424 -1.6771 0.9683 12.1424 0.0000 -1.9366 12.1424" Properties=species:S:1:pos:R:3 pbc="T T T"
Na 0.0000 0.0000 0.0000
Sm 0.0000 0.0000 18.2136
Sc 0.0000 0.0000 3.3323
Sc 0.0000 0.0000 33.0950
```

Its total energy is -4.421 eV per atom. The density of states at the Fermi level comes out at 1.60 states/eV/atom. The magnetization is 0.00 μB per cell.

no.,energy of formation from the pure elements (eV/atom)
1,0.758
2,0.254